No. 1
The following is a DFT calculation (GGA-PBE) of a relaxed structure of B2Ir.

Summary:
DFT total energy: -6.4230 eV/atom
Symmetry: Fd-3m, No. 227
Total magnetic moment: 0.00 μB/f.u.

```
6
Lattice="0.000 4.500 4.500 4.500 0.000 4.500 4.500 4.500 0.000" Properties=species:S:1:pos:R:3 pbc="T T T"
B 0.000 0.000 0.000
B 2.250 2.250 0.000
B 2.250 0.000 2.250
B 0.000 2.250 2.250
Ir 1.125 1.125 1.125
Ir 7.876 7.876 7.876
```

---

No. 2
The following is a DFT calculation (GGA-PBE) of a relaxed structure of TaFePbAu.

Summary:
DFT total energy: -6.2698 eV/atom
Symmetry: F-43m, No. 216
Total magnetic moment: 1.79 μB/f.u.
Relative energy among the computed polymorphs: 0.000 eV per atom

```
4
Lattice="0.000 3.309 3.309 3.309 0.000 3.309 3.309 3.309 0.000" Properties=species:S:1:pos:R:3 pbc="T T T"
Ta 0.000 0.000 0.000
Fe 3.309 3.309 3.309
Pb 1.655 1.655 1.655
Au 4.964 4.964 4.964
```

---

No. 3
The following is a DFT calculation (GGA-PBE) of a relaxed structure of DySc2P3.

Summary:
DFT total energy: -7.0992 eV/atom
Symmetry: P-3m1, No. 164
Total magnetic moment: 0.00 μB/f.u.

```
6
Lattice="3.845 0.000 0.000 -1.922 3.330 0.000 0.000 0.000 9.384" Properties=species:S:1:pos:R:3 pbc="T T T"
Dy 0.000 0.000 0.000
Sc 0.000 2.220 3.188
Sc 1.922 1.110 6.196
P 0.000 0.000 4.692
P 0.000 2.220 7.691
P 1.922 1.110 1.693
```

---

No. 4
The following is a DFT calculation (GGA-PBE) of a relaxed structure of AcPuGa.

Summary:
DFT total energy: -7.0484 eV/atom
Symmetry: F-43m, No. 216
Total magnetic moment: 6.12 μB/f.u.
Relative energy among the computed polymorphs: 0.000 eV per atom

```
3
Lattice="0.000 3.543 3.543 3.543 0.000 3.543 3.543 3.543 0.000" Properties=species:S:1:pos:R:3 pbc="T T T"
Ac 0.000 0.000 0.000
Pu 3.543 3.543 3.543
Ga 1.772 1.772 1.772
```

---

No. 5
The following is a DFT calculation (GGA-PBE) of a relaxed structure of Ni19Ge12.

Summary:
DFT total energy: -5.5222 eV/atom
Symmetry: C2, No. 5
Total magnetic moment: 0.00 μB/f.u.

```
31
Lattice="5.839 -3.364 0.000 5.839 3.364 0.000 -0.065 0.000 10.085" Properties=species:S:1:pos:R:3 pbc="T T T"
Ni 0.000 0.000 0.000
Ni 3.901 2.188 1.244
Ni 1.822 -1.065 6.311
Ni 5.715 1.088 7.529
Ni 1.992 -1.117 3.781
Ni 3.897 -0.021 5.157
Ni 7.713 2.188 8.841
Ni 5.899 1.088 2.556
Ni 2.050 -1.158 1.247
Ni 5.701 -1.096 1.242
Ni 3.873 -2.219 7.586
Ni 7.716 -0.021 4.928
Ni 5.913 -1.096 8.843
Ni 5.704 -1.254 3.778
Ni 5.910 -1.254 6.308
Ni 9.622 -1.117 6.304
Ni 7.741 -2.219 2.499
Ni 9.563 -1.158 8.838
Ni 9.792 -1.065 3.774
Ge 0.131 0.082 7.607
Ge 1.763 0.998 5.006
Ge 3.576 0.116 7.647
Ge 5.807 1.361 5.043
Ge 5.839 0.992 0.000
Ge 3.881 -0.156 2.543
Ge 3.732 -2.183 10.080
Ge 8.038 0.116 2.438
Ge 7.733 -0.156 7.542
Ge 9.850 0.998 5.079
Ge 11.483 0.082 2.478
Ge 7.882 -2.183 0.005
```

---

No. 6
The following is a DFT calculation (GGA-PBE) of a relaxed structure of PuNpTc.

Summary:
DFT total energy: -12.2031 eV/atom
Symmetry: F-43m, No. 216
Energy of formation from the pure elements: 63 kJ/mol of formula units
Total magnetic moment: 2.04 μB/f.u.
Relative energy among the computed polymorphs: 0.000 eV per atom

```
3
Lattice="0.000 3.033 3.033 3.033 0.000 3.033 3.033 3.033 0.000" Properties=species:S:1:pos:R:3 pbc="T T T"
Pu 0.000 0.000 0.000
Np 4.550 4.550 4.550
Tc 1.517 1.517 1.517
```